DFT (PBE) results for a relaxed YRuCl2 crystal.

Results
Its crystal system is monoclinic. The calculation puts the density of states at the Fermi level at 0.25 states/eV/f.u. For the total energy, the calculation gives -5.6104 eV per atom. The relative energy among the computed polymorphs comes out at 86.9 meV per atom. The space group is Pm (6). The calculation puts the formation energy from raw total energies at -3.01 eV/f.u.

```
data_YRuCl2
_cell_length_a 3.916
_cell_length_b 3.558
_cell_length_c 6.940
_cell_angle_alpha 90.00
_cell_angle_beta 105.68
_cell_angle_gamma 90.00
_space_group_name_H-M_alt 'P 1'
_space_group_IT_number 1
_space_group_name_Hall 'P 1'
loop_
_atom_site_label
_atom_site_type_symbol
_atom_site_fract_x
_atom_site_fract_y
_atom_site_fract_z
Y1 Y 0.000 0.000 0.000
Ru1 Ru 0.581 0.500 0.165
Cl1 Cl 0.397 0.500 0.801
Cl2 Cl 0.719 0.000 0.424
```

---

DFT (PBE) results for a relaxed YRuCl2 crystal.

Results
Its crystal system is trigonal. The calculation puts the density of states at the Fermi level at 1.59 states/eV/f.u. For the total energy, the calculation gives -5.5101 eV per atom. The relative energy among the computed polymorphs comes out at 187.2 meV per atom. The space group is R3m (160). The calculation puts the formation energy from raw total energies at -2.61 eV/f.u.

```
data_YRuCl2
_cell_length_a 9.248
_cell_length_b 9.248
_cell_length_c 9.248
_cell_angle_alpha 22.45
_cell_angle_beta 22.45
_cell_angle_gamma 22.45
_space_group_name_H-M_alt 'P 1'
_space_group_IT_number 1
_space_group_name_Hall 'P 1'
loop_
_atom_site_label
_atom_site_type_symbol
_atom_site_fract_x
_atom_site_fract_y
_atom_site_fract_z
Y1 Y 0.000 0.000 0.000
Ru1 Ru 0.743 0.743 0.743
Cl1 Cl 0.266 0.266 0.266
Cl2 Cl 0.465 0.465 0.465
```

---

DFT (PBE) results for a relaxed YRuCl2 crystal.

Results
Its crystal system is tetragonal. The calculation puts the density of states at the Fermi level at 2.83 states/eV/f.u. For the total energy, the calculation gives -5.2043 eV per atom. The relative energy among the computed polymorphs comes out at 493.0 meV per atom. The space group is P4/mmm (123). The calculation puts the formation energy from raw total energies at -1.38 eV/f.u.

```
data_YRuCl2
_cell_length_a 4.382
_cell_length_b 4.382
_cell_length_c 3.873
_cell_angle_alpha 90.00
_cell_angle_beta 90.00
_cell_angle_gamma 90.00
_space_group_name_H-M_alt 'P 1'
_space_group_IT_number 1
_space_group_name_Hall 'P 1'
loop_
_atom_site_label
_atom_site_type_symbol
_atom_site_fract_x
_atom_site_fract_y
_atom_site_fract_z
Y1 Y 0.000 0.000 0.000
Ru1 Ru 0.500 0.500 0.000
Cl1 Cl 0.000 0.500 0.500
Cl2 Cl 0.500 0.000 0.500
```

---

DFT (PBE) results for a relaxed Y2RuCl crystal.

Results
Its crystal system is tetragonal. The calculation puts the density of states at the Fermi level at 3.07 states/eV/f.u. For the total energy, the calculation gives -6.3706 eV per atom. The relative energy among the computed polymorphs comes out at 592.9 meV per atom. The space group is I-4m2 (119). The calculation puts the formation energy from raw total energies at -1.43 eV/f.u.

```
data_Y2RuCl
_cell_length_a 6.366
_cell_length_b 6.366
_cell_length_c 6.366
_cell_angle_alpha 144.10
_cell_angle_beta 144.10
_cell_angle_gamma 51.67
_space_group_name_H-M_alt 'P 1'
_space_group_IT_number 1
_space_group_name_Hall 'P 1'
loop_
_atom_site_label
_atom_site_type_symbol
_atom_site_fract_x
_atom_site_fract_y
_atom_site_fract_z
Y1 Y 0.000 0.000 0.000
Y2 Y 0.750 0.250 0.500
Ru1 Ru 0.500 0.500 0.000
Cl1 Cl 0.250 0.750 0.500
```

---

DFT (PBE) results for a relaxed YRuCl2 crystal.

Results
Its crystal system is orthorhombic. The calculation puts the density of states at the Fermi level at 4.63 states/eV/f.u. For the total energy, the calculation gives -5.0315 eV per atom. The relative energy among the computed polymorphs comes out at 665.7 meV per atom. The space group is Pmmm (47). The calculation puts the formation energy from raw total energies at -0.69 eV/f.u.

```
data_YRuCl2
_cell_length_a 3.261
_cell_length_b 3.729
_cell_length_c 6.298
_cell_angle_alpha 90.00
_cell_angle_beta 90.00
_cell_angle_gamma 90.00
_space_group_name_H-M_alt 'P 1'
_space_group_IT_number 1
_space_group_name_Hall 'P 1'
loop_
_atom_site_label
_atom_site_type_symbol
_atom_site_fract_x
_atom_site_fract_y
_atom_site_fract_z
Y1 Y 0.000 0.000 0.000
Ru1 Ru 0.000 0.000 0.500
Cl1 Cl 0.500 0.500 0.240
Cl2 Cl 0.500 0.500 0.760
```

---

DFT (PBE) results for a relaxed YRuCl2 crystal.

Results
Its crystal system is orthorhombic. The calculation puts the density of states at the Fermi level at 3.32 states/eV/f.u. For the total energy, the calculation gives -5.0033 eV per atom. The relative energy among the computed polymorphs comes out at 694.0 meV per atom. The space group is Cmmm (65). The calculation puts the formation energy from raw total energies at -0.58 eV/f.u.

```
data_YRuCl2
_cell_length_a 3.462
_cell_length_b 3.462
_cell_length_c 8.644
_cell_angle_alpha 90.00
_cell_angle_beta 90.00
_cell_angle_gamma 123.39
_space_group_name_H-M_alt 'P 1'
_space_group_IT_number 1
_space_group_name_Hall 'P 1'
loop_
_atom_site_label
_atom_site_type_symbol
_atom_site_fract_x
_atom_site_fract_y
_atom_site_fract_z
Y1 Y 0.000 0.000 0.000
Ru1 Ru 0.000 0.000 0.500
Cl1 Cl 0.500 0.500 0.257
Cl2 Cl 0.500 0.500 0.743
```

---

DFT (PBE) results for a relaxed YRuCl2 crystal.

Results
Its crystal system is orthorhombic. The calculation puts the density of states at the Fermi level at 3.72 states/eV/f.u. For the total energy, the calculation gives -5.2983 eV per atom. The relative energy among the computed polymorphs comes out at 399.0 meV per atom. The space group is Pmmm (47). The calculation puts the formation energy from raw total energies at -1.76 eV/f.u.

```
data_YRuCl2
_cell_length_a 3.344
_cell_length_b 4.301
_cell_length_c 5.286
_cell_angle_alpha 90.00
_cell_angle_beta 90.00
_cell_angle_gamma 90.00
_space_group_name_H-M_alt 'P 1'
_space_group_IT_number 1
_space_group_name_Hall 'P 1'
loop_
_atom_site_label
_atom_site_type_symbol
_atom_site_fract_x
_atom_site_fract_y
_atom_site_fract_z
Y1 Y 0.000 0.000 0.000
Ru1 Ru 0.500 0.000 0.500
Cl1 Cl 0.000 0.500 0.500
Cl2 Cl 0.500 0.500 0.000
```

---

DFT (PBE) results for a relaxed Y2RuCl crystal.

Results
Its crystal system is orthorhombic. The calculation puts the density of states at the Fermi level at 1.89 states/eV/f.u. For the total energy, the calculation gives -6.6880 eV per atom. The relative energy among the computed polymorphs comes out at 275.5 meV per atom. The space group is Amm2 (38). The calculation puts the formation energy from raw total energies at -2.70 eV/f.u.

```
data_Y2RuCl
_cell_length_a 4.697
_cell_length_b 5.718
_cell_length_c 5.718
_cell_angle_alpha 34.84
_cell_angle_beta 90.00
_cell_angle_gamma 90.00
_space_group_name_H-M_alt 'P 1'
_space_group_IT_number 1
_space_group_name_Hall 'P 1'
loop_
_atom_site_label
_atom_site_type_symbol
_atom_site_fract_x
_atom_site_fract_y
_atom_site_fract_z
Y1 Y 0.000 0.000 0.000
Y2 Y 0.500 0.268 0.268
Ru1 Ru 0.000 0.748 0.748
Cl1 Cl 0.500 0.524 0.524
```